Record 1
The following is a GGA-PBE calculation of Er3SiGe2 after structural relaxation, from Alexandria via LeMat-Bulk.

Values from the calculation:
SG = Pnma, No. 62
Formation energy from raw total energies = -729.6 meV per atom

a b c (Å): 11.4363 4.0815 11.4168
angles (deg): 90.00 90.00 90.00
Positions (direct):
Er: 0.0578 0.2500 0.1220
Er: 0.1177 0.7500 0.5563
Er: 0.2128 0.2500 0.7934
Er: 0.2872 0.7500 0.2934
Er: 0.3823 0.2500 0.0563
Er: 0.4422 0.7500 0.6220
Er: 0.5578 0.2500 0.3780
Er: 0.6177 0.7500 0.9437
Er: 0.7128 0.2500 0.7066
Er: 0.7872 0.7500 0.2066
Er: 0.8823 0.2500 0.4437
Er: 0.9422 0.7500 0.8780
Si: 0.1302 0.2500 0.3722
Si: 0.3698 0.7500 0.8722
Si: 0.6302 0.2500 0.1278
Si: 0.8698 0.7500 0.6278
Ge: 0.0152 0.7500 0.3047
Ge: 0.1898 0.7500 0.9987
Ge: 0.3102 0.2500 0.4987
Ge: 0.4848 0.2500 0.8047
Ge: 0.5152 0.7500 0.1953
Ge: 0.6898 0.7500 0.5013
Ge: 0.8102 0.2500 0.0013
Ge: 0.9848 0.2500 0.6953

Record 2
The following is a GGA-PBE calculation of KNa2PaO4 after structural relaxation, from Alexandria via LeMat-Bulk.

Values from the calculation:
SG = I-42m, No. 121
Formation energy from raw total energies = -2322.7 meV per atom

a b c (Å): 5.7690 5.7690 5.7690
angles (deg): 116.01 116.01 97.07
Positions (direct):
K: 0.0000 0.0000 0.0000
Na: 0.2500 0.7500 0.5000
Na: 0.7500 0.2500 0.5000
Pa: 0.5000 0.5000 0.0000
O: 0.1536 0.5625 0.0000
O: 0.4375 0.4375 0.5911
O: 0.5625 0.1536 0.0000
O: 0.8464 0.8464 0.4089

Record 3
The following is a GGA-PBE calculation of YLuSe3 after structural relaxation, from Alexandria via LeMat-Bulk.

Values from the calculation:
SG = Cmcm, No. 63
Relative energy among the computed polymorphs = 0.8397 eV/atom
Formation energy from raw total energies = -1040.4 meV per atom

a b c (Å): 8.8017 8.8017 5.6688
angles (deg): 90.00 90.00 144.45
Positions (direct):
Y: 0.0517 0.9483 0.7500
Y: 0.9483 0.0517 0.2500
Lu: 0.3459 0.6541 0.7500
Lu: 0.6541 0.3459 0.2500
Se: 0.0633 0.4509 0.2500
Se: 0.4509 0.0633 0.7500
Se: 0.5000 0.5000 0.0000
Se: 0.5000 0.5000 0.5000
Se: 0.5491 0.9367 0.2500
Se: 0.9367 0.5491 0.7500

Record 4
The following is a GGA-PBE calculation of AlCu5Pt8 after structural relaxation, from Alexandria via LeMat-Bulk.

Values from the calculation:
SG = I-4, No. 82
E_form = -0.0876 eV/atom

a b c (Å): 6.4908 6.4908 6.4908
angles (deg): 110.40 110.40 107.62
Positions (direct):
Al: 0.0000 0.0000 0.0000
Cu: 0.2194 0.0345 0.5870
Cu: 0.3676 0.7806 0.8151
Cu: 0.4475 0.6324 0.4130
Cu: 0.7500 0.2500 0.5000
Cu: 0.9655 0.5525 0.1849
Pt: 0.1001 0.3130 0.4112
Pt: 0.1741 0.4087 0.9018
Pt: 0.3111 0.8999 0.2129
Pt: 0.5069 0.2722 0.0982
Pt: 0.5913 0.4931 0.7653
Pt: 0.6870 0.0982 0.7871
Pt: 0.7278 0.8259 0.2347
Pt: 0.9018 0.6889 0.5888

Record 5
The following is a GGA-PBE calculation of Pr2Zn2BiRh5 after structural relaxation, from Alexandria via LeMat-Bulk.

Values from the calculation:
SG = P4/mbm, No. 127
E_form = -0.5310 eV/atom

a b c (Å): 9.8912 9.8912 3.7686
angles (deg): 90.00 90.00 90.00
Positions (direct):
Pr: 0.1761 0.3239 0.0000
Pr: 0.3239 0.8239 0.0000
Pr: 0.6761 0.1761 0.0000
Pr: 0.8239 0.6761 0.0000
Zn: 0.1205 0.6205 0.0000
Zn: 0.3795 0.1205 0.0000
Zn: 0.6205 0.8795 0.0000
Zn: 0.8795 0.3795 0.0000
Bi: 0.0000 0.0000 0.0000
Bi: 0.5000 0.5000 0.0000
Rh: 0.0000 0.5000 0.5000
Rh: 0.0679 0.7873 0.5000
Rh: 0.2127 0.0679 0.5000
Rh: 0.2873 0.5679 0.5000
Rh: 0.4321 0.2873 0.5000
Rh: 0.5000 0.0000 0.5000
Rh: 0.5679 0.7127 0.5000
Rh: 0.7127 0.4321 0.5000
Rh: 0.7873 0.9321 0.5000
Rh: 0.9321 0.2127 0.5000

Record 6
The following is a GGA-PBE calculation of CdSiWBr2 after structural relaxation, from Alexandria via LeMat-Bulk.

Values from the calculation:
SG = P4/mmm, No. 123
Formation energy from raw total energies = 1585.9 meV per atom

a b c (Å): 5.4174 5.4174 5.1875
angles (deg): 90.00 90.00 90.00
Positions (direct):
Cd: 0.0000 0.0000 0.0000
Si: 0.0000 0.0000 0.5000
W: 0.5000 0.5000 0.5000
Br: 0.0000 0.5000 0.0000
Br: 0.5000 0.0000 0.0000

Record 7
The following is a GGA-PBE calculation of BeTlN2O after structural relaxation, from Alexandria via LeMat-Bulk.

Values from the calculation:
SG = P4/mmm, No. 123
Formation energy from raw total energies = 2119.4 meV per atom

a b c (Å): 4.3008 4.3008 4.2791
angles (deg): 90.00 90.00 90.00
Positions (direct):
Be: 0.0000 0.0000 0.0000
Tl: 0.5000 0.5000 0.5000
N: 0.0000 0.5000 0.5000
N: 0.5000 0.0000 0.5000
O: 0.5000 0.5000 0.0000

Record 8
The following is a GGA-PBE calculation of Rb2AcTlI6 after structural relaxation, from Alexandria via LeMat-Bulk.

Values from the calculation:
SG = P2_1/c, No. 14
Formation energy from raw total energies = -1363.7 meV per atom

a b c (Å): 8.7172 9.4126 15.1340
angles (deg): 90.00 123.37 90.00
Positions (direct):
Rb: 0.2079 0.0892 0.2448
Rb: 0.2079 0.4108 0.7448
Rb: 0.7921 0.5892 0.2552
Rb: 0.7921 0.9108 0.7552
Ac: 0.5000 0.0000 0.0000
Ac: 0.5000 0.5000 0.5000
Tl: 0.0000 0.0000 0.5000
Tl: 0.0000 0.5000 0.0000
I: 0.1350 0.1824 0.9391
I: 0.1350 0.3176 0.4391
I: 0.2572 0.7064 0.9302
I: 0.2572 0.7936 0.4302
I: 0.3923 0.0476 0.7580
I: 0.3923 0.4524 0.2580
I: 0.6077 0.5476 0.7420
I: 0.6077 0.9524 0.2420
I: 0.7428 0.2064 0.5698
I: 0.7428 0.2936 0.0698
I: 0.8650 0.6824 0.5609
I: 0.8650 0.8176 0.0609

no.,calculated total energy (eV/atom)
1,-5.454
2,-6.456
3,-5.328
4,-5.270
5,-5.806
6,-2.942
7,-3.421
8,-3.135